Here is crystalline KAgOs at its relaxed geometry from OQMD via LeMat-Bulk. Energies are from PBE.

```
3
Lattice="0.0000 3.5157 3.5157 3.5157 0.0000 3.5157 3.5157 3.5157 0.0000" Properties=species:S:1:pos:R:3 pbc="T T T"
Ag 1.7579 1.7579 1.7579
Os 5.2736 5.2736 5.2736
K 0.0000 0.0000 0.0000
```

Results
As for the energy: -2.7105 eV per atom. As for the polymorph energy (0 for the lowest one): 535 meV/atom. The total magnetization comes out at 2.48 Bohr magnetons per cell.



Here is crystalline KAgOs at its relaxed geometry from OQMD via LeMat-Bulk. Energies are from PBE.

```
3
Lattice="0.0000 3.4197 3.4197 3.4197 0.0000 3.4197 3.4197 3.4197 0.0000" Properties=species:S:1:pos:R:3 pbc="T T T"
K 1.7098 1.7098 1.7098
Os 5.1295 5.1295 5.1295
Ag 0.0000 0.0000 0.0000
```

Results
As for the energy: -3.2451 eV per atom. As for the polymorph energy (0 for the lowest one): 0 meV/atom. The total magnetization comes out at 2.20 Bohr magnetons per cell.



Here is crystalline KAgOsS3 at its relaxed geometry from OQMD via LeMat-Bulk. Energies are from PBE.

```
12
Lattice="7.2708 -1.8535 0.0000 7.2708 1.8535 0.0000 0.0000 0.0000 9.6777" Properties=species:S:1:pos:R:3 pbc="T T T"
S 8.2185 0.0000 7.2583
S 6.3230 0.0000 2.4194
S 1.5570 0.0000 0.1392
S 12.9845 0.0000 9.5385
S 1.5570 0.0000 4.6996
S 12.9845 0.0000 4.9781
K 10.9528 0.0000 2.4194
K 3.5887 0.0000 7.2583
Ag 0.8447 0.0000 2.4194
Ag 13.6968 0.0000 7.2583
Os 7.2707 0.0000 0.0000
Os 7.2707 0.0000 4.8389
```

Results
As for the energy: -4.7564 eV per atom. The total magnetization comes out at 0.30 Bohr magnetons per cell.



Here is crystalline K2AgOsS4 at its relaxed geometry from OQMD via LeMat-Bulk. Energies are from PBE.

```
16
Lattice="5.5594 -9.7922 5.8569 6.7414 -3.2320 8.5366 -4.2680 -5.1944 2.5332" Properties=species:S:1:pos:R:3 pbc="T T T"
K -1.2668 -6.6127 4.6815
K -0.9930 -3.1364 2.0833
K 5.0094 -5.9729 6.3800
K 9.2996 -11.6060 12.2452
S 2.7259 -7.0653 9.3205
S -0.1143 -9.2825 6.3706
S 1.7557 -5.9157 5.9809
S 6.4183 -8.7562 7.6360
S 3.4139 -10.2588 6.2511
S 6.5335 -12.4163 10.5127
S 3.5075 -10.3569 10.6457
S 7.8907 -8.8226 10.9892
Ag 6.0246 -13.6639 12.6950
Ag 4.0164 -9.1093 8.4633
Os 0.0000 0.0000 0.0000
Os 2.0082 -4.5547 4.2317
```

Results
As for the energy: -4.5815 eV per atom. The total magnetization comes out at 2.00 Bohr magnetons per cell.